No. 1
# PBE SrCuW2, relaxed
# - Volume: 292 Å³/cell
# - Calculated total energy: -108.75 eV for the cell shown
data_SrCuW2
_cell_length_a 6.634
_cell_length_b 6.634
_cell_length_c 6.634
_cell_angle_alpha 90.00
_cell_angle_beta 90.00
_cell_angle_gamma 90.00
_space_group_name_H-M_alt 'F -4 3 m'
_space_group_IT_number 216
_space_group_name_Hall 'F -4 2 3'
loop_
_atom_site_label
_atom_site_fract_x
_atom_site_fract_y
_atom_site_fract_z
Sr1 0.000 0.000 0.000
Cu1 0.250 0.250 0.250
W1 0.000 0.000 0.500
W2 0.250 0.250 0.750



No. 2
# PBE Sr2CuW, relaxed
# - Volume: 397 Å³/cell
# - Calculated total energy: -61.09 eV for the cell shown
data_Sr2CuW
_cell_length_a 7.348
_cell_length_b 7.348
_cell_length_c 7.348
_cell_angle_alpha 90.00
_cell_angle_beta 90.00
_cell_angle_gamma 90.00
_space_group_name_H-M_alt 'F -4 3 m'
_space_group_IT_number 216
_space_group_name_Hall 'F -4 2 3'
loop_
_atom_site_label
_atom_site_fract_x
_atom_site_fract_y
_atom_site_fract_z
Sr1 0.000 0.000 0.000
Sr2 0.250 0.250 0.250
Cu1 0.000 0.000 0.500
W1 0.250 0.250 0.750



No. 3
# PBE SrCuW, relaxed
# - Volume: 297 Å³/cell
# - Calculated total energy: -55.78 eV for the cell shown
# - Distance to the lowest polymorph of the same formula: 0.0 meV per atom
data_SrCuW
_cell_length_a 6.673
_cell_length_b 6.673
_cell_length_c 6.673
_cell_angle_alpha 90.00
_cell_angle_beta 90.00
_cell_angle_gamma 90.00
_space_group_name_H-M_alt 'F -4 3 m'
_space_group_IT_number 216
_space_group_name_Hall 'F -4 2 3'
loop_
_atom_site_label
_atom_site_fract_x
_atom_site_fract_y
_atom_site_fract_z
Sr1 0.000 0.000 0.000
Cu1 0.250 0.250 0.250
W1 0.000 0.000 0.500



No. 4
# PBE SrZn3Cu2, relaxed
# - Volume: 436 Å³/cell
# - Calculated total energy: -56.33 eV for the cell shown
data_SrZn3Cu2
_cell_length_a 10.173
_cell_length_b 8.308
_cell_length_c 5.158
_cell_angle_alpha 90.00
_cell_angle_beta 90.00
_cell_angle_gamma 90.00
_space_group_name_H-M_alt 'C m c m'
_space_group_IT_number 63
_space_group_name_Hall '-C 2c 2'
loop_
_atom_site_label
_atom_site_fract_x
_atom_site_fract_y
_atom_site_fract_z
Sr1 0.000 0.168 0.250
Zn1 0.000 0.435 0.750
Zn2 0.194 0.231 0.750
Cu1 0.213 0.500 0.000



No. 5
# PBE SrZn2Cu, relaxed
# - Volume: 323 Å³/cell
# - Calculated total energy: -31.04 eV for the cell shown
data_SrZn2Cu
_cell_length_a 6.860
_cell_length_b 6.860
_cell_length_c 6.860
_cell_angle_alpha 90.00
_cell_angle_beta 90.00
_cell_angle_gamma 90.00
_space_group_name_H-M_alt 'F -4 3 m'
_space_group_IT_number 216
_space_group_name_Hall 'F -4 2 3'
loop_
_atom_site_label
_atom_site_fract_x
_atom_site_fract_y
_atom_site_fract_z
Sr1 0.000 0.000 0.000
Zn1 0.000 0.000 0.500
Zn2 0.250 0.250 0.750
Cu1 0.250 0.250 0.250



No. 6
# PBE TaCu, relaxed
# - Volume: 77 Å³/cell
# - DFT formation energy: 1322 meV per atom
# - Calculated total energy: -25.85 eV for the cell shown
data_TaCu
_cell_length_a 4.1728
_cell_length_b 4.1728
_cell_length_c 5.1349
_cell_angle_alpha 90.00
_cell_angle_beta 90.00
_cell_angle_gamma 120.00
_space_group_name_H-M_alt 'P 63/m m c'
_space_group_IT_number 194
_space_group_name_Hall '-P 6c 2c'
loop_
_atom_site_label
_atom_site_fract_x
_atom_site_fract_y
_atom_site_fract_z
Ta1 0.3333 0.6667 0.2500
Cu1 0.3333 0.6667 0.7500